[1]
Below is crystalline MgAg2O4 at its relaxed geometry, with properties calculated at the PBE level.

Geometry as POSCAR:
```
MgAg2O4
1.0
6.331 0.000 0.000
0.000 10.945 0.000
0.000 0.000 5.578
Mg Ag O
4 8 16
Direct
0.250 0.250 0.083 Mg
0.250 0.750 0.363 Mg
0.750 0.250 0.637 Mg
0.750 0.750 0.917 Mg
0.000 0.000 0.500 Ag
0.000 0.500 0.500 Ag
0.250 0.535 0.965 Ag
0.250 0.965 0.965 Ag
0.500 0.000 0.500 Ag
0.500 0.500 0.500 Ag
0.750 0.035 0.035 Ag
0.750 0.465 0.035 Ag
0.002 0.182 0.853 O
0.002 0.318 0.853 O
0.250 0.086 0.279 O
0.250 0.414 0.279 O
0.250 0.614 0.605 O
0.250 0.886 0.605 O
0.498 0.182 0.853 O
0.498 0.318 0.853 O
0.502 0.682 0.147 O
0.502 0.818 0.147 O
0.750 0.114 0.395 O
0.750 0.386 0.395 O
0.750 0.586 0.721 O
0.750 0.914 0.721 O
0.998 0.682 0.147 O
0.998 0.818 0.147 O
```

Calculated values
Electronic total energy: -124.936 eV per cell
E_form (uncorrected): -0.586 eV per atom
Energy above the lowest structure with this stoichiometry: 110 meV per atom
Space-group type: Pmmn

[2]
Below is crystalline Mg3AgO at its relaxed geometry, with properties calculated at the PBE level.

Geometry as POSCAR:
```
Mg3AgO
1.0
4.286 0.000 0.000
0.000 4.286 0.000
0.000 0.000 4.286
Mg Ag O
3 1 1
Direct
0.000 0.000 0.500 Mg
0.000 0.500 0.000 Mg
0.500 0.000 0.000 Mg
0.500 0.500 0.500 Ag
0.000 0.000 0.000 O
```

Calculated values
Electronic total energy: -17.604 eV per cell
E_form (uncorrected): -1.002 eV per atom
Energy above the lowest structure with this stoichiometry: 0 meV per atom
Space-group type: Pm-3m

[3]
Below is crystalline MgAgO at its relaxed geometry, with properties calculated at the PBE level.

Geometry as POSCAR:
```
MgAgO
1.0
3.260 0.000 0.000
-1.630 2.824 0.000
0.000 0.000 12.191
Mg Ag O
2 2 2
Direct
0.000 0.000 0.173 Mg
0.000 0.000 0.827 Mg
0.333 0.667 0.411 Ag
0.667 0.333 0.589 Ag
0.333 0.667 0.833 O
0.667 0.333 0.167 O
```

Calculated values
Electronic total energy: -26.812 eV per cell
E_form (uncorrected): -1.334 eV per atom
Space-group type: P-3m1

[4]
Below is crystalline MgAg2O4 at its relaxed geometry, with properties calculated at the PBE level.

Geometry as POSCAR:
```
MgAg2O4
1.0
3.226 1.863 5.037
-3.226 1.863 5.037
0.000 -3.725 5.037
Mg Ag O
2 4 8
Direct
0.000 0.000 0.000 Mg
0.385 0.385 0.385 Mg
0.386 0.386 0.889 Ag
0.386 0.889 0.386 Ag
0.773 0.773 0.773 Ag
0.889 0.386 0.386 Ag
0.132 0.132 0.132 O
0.148 0.148 0.604 O
0.148 0.604 0.148 O
0.189 0.622 0.622 O
0.604 0.148 0.148 O
0.622 0.189 0.622 O
0.622 0.622 0.189 O
0.634 0.634 0.634 O
```

Calculated values
Electronic total energy: -62.857 eV per cell
E_form (uncorrected): -0.614 eV per atom
Energy above the lowest structure with this stoichiometry: 82 meV per atom
Space-group type: R3m